The following is a PBE calculation of a relaxed LaZrMn2 crystal, from the Alexandria database.

## Properties
Polymorph energy (0 for the lowest one) = 215 meV/atom
M_tot = 0.0 μB/f.u.

Cell and atoms, written as CIF:
```
data_LaZrMn2
_symmetry_space_group_name_H-M 'C 1 2/m 1'
_symmetry_Int_Tables_number 12
_cell_length_a 9.4511
_cell_length_b 3.4810
_cell_length_c 6.3915
_cell_angle_alpha 90.00
_cell_angle_beta 118.97
_cell_angle_gamma 90.00
loop_
_symmetry_equiv_pos_as_xyz
'x,y,z'
'-x,-y,-z'
'-x,y,-z'
'x,-y,z'
'x+1/2,y+1/2,z'
'-x+1/2,-y+1/2,-z'
'-x+1/2,y+1/2,-z'
'x+1/2,-y+1/2,z'
loop_
_atom_site_label
_atom_site_type_symbol
_atom_site_fract_x
_atom_site_fract_y
_atom_site_fract_z
_atom_site_occupancy
La1 La 0.0000 0.0000 0.0000 1
Zr1 Zr 0.0000 0.5000 0.5000 1
Mn1 Mn 0.2401 0.5000 0.3997 1
```